[1]
Mn2CrSe after structural relaxation. Source: the Alexandria database, functional PBE-GGA.

Geometry as CIF:
```
data_Mn2CrSe
_chemical_formula_sum 'Mn2 Cr1 Se1'
_cell_length_a 7.842
_cell_length_b 7.842
_cell_length_c 7.842
_cell_angle_alpha 21.77
_cell_angle_beta 21.77
_cell_angle_gamma 21.77
_space_group_name_H-M_alt 'P 1'
_space_group_IT_number 1
_space_group_name_Hall 'P 1'
loop_
_atom_site_label
_atom_site_type_symbol
_atom_site_fract_x
_atom_site_fract_y
_atom_site_fract_z
Mn1 Mn 0.000 0.000 0.000
Mn2 Mn 0.247 0.247 0.247
Cr1 Cr 0.505 0.505 0.505
Se1 Se 0.741 0.741 0.741
```

Computed properties:
SG	No. 160
energy relative to the elements, uncorrected	0.35	eV/atom

***

[2]
LaHfBBr2 after structural relaxation. Source: the Alexandria database, functional PBE-GGA.

Geometry as CIF:
```
data_LaHfBBr2
_chemical_formula_sum 'La1 Hf1 B1 Br2'
_cell_length_a 4.973
_cell_length_b 4.973
_cell_length_c 5.126
_cell_angle_alpha 90.00
_cell_angle_beta 90.00
_cell_angle_gamma 90.00
_space_group_name_H-M_alt 'P 1'
_space_group_IT_number 1
_space_group_name_Hall 'P 1'
loop_
_atom_site_label
_atom_site_type_symbol
_atom_site_fract_x
_atom_site_fract_y
_atom_site_fract_z
La1 La 0.000 0.000 0.000
Hf1 Hf 0.500 0.500 0.000
B1 B 0.000 0.000 0.500
Br1 Br 0.000 0.500 0.500
Br2 Br 0.500 0.000 0.500
```

Computed properties:
SG	No. 123
energy relative to the elements, uncorrected	0.80	eV/atom

***

[3]
Te5Ir after structural relaxation. Source: the Alexandria database, functional PBE-GGA.

Geometry as CIF:
```
data_Te5Ir
_chemical_formula_sum 'Te5 Ir1'
_cell_length_a 5.722
_cell_length_b 5.722
_cell_length_c 6.599
_cell_angle_alpha 90.00
_cell_angle_beta 90.00
_cell_angle_gamma 120.00
_space_group_name_H-M_alt 'P 1'
_space_group_IT_number 1
_space_group_name_Hall 'P 1'
loop_
_atom_site_label
_atom_site_type_symbol
_atom_site_fract_x
_atom_site_fract_y
_atom_site_fract_z
Te1 Te 0.000 0.500 0.000
Te2 Te 0.333 0.667 0.500
Te3 Te 0.500 0.000 0.000
Te4 Te 0.500 0.500 0.000
Te5 Te 0.667 0.333 0.500
Ir1 Ir 0.000 0.000 0.500
```

Computed properties:
SG	No. 191
energy relative to the elements, uncorrected	1.04	eV/atom
energy above the lowest structure with this stoichiometry	1154	meV/atom

***

[4]
KCu2Br4 after structural relaxation. Source: the Alexandria database, functional PBE-GGA.

Geometry as CIF:
```
data_KCu2Br4
_chemical_formula_sum 'K1 Cu2 Br4'
_cell_length_a 8.175
_cell_length_b 8.175
_cell_length_c 8.175
_cell_angle_alpha 138.29
_cell_angle_beta 138.29
_cell_angle_gamma 60.46
_space_group_name_H-M_alt 'P 1'
_space_group_IT_number 1
_space_group_name_Hall 'P 1'
loop_
_atom_site_label
_atom_site_type_symbol
_atom_site_fract_x
_atom_site_fract_y
_atom_site_fract_z
K1 K 0.000 0.000 0.000
Cu1 Cu 0.416 0.416 0.000
Cu2 Cu 0.584 0.584 0.000
Br1 Br 0.000 0.500 0.500
Br2 Br 0.256 0.256 0.000
Br3 Br 0.500 0.000 0.500
Br4 Br 0.744 0.744 0.000
```

Computed properties:
SG	No. 139
energy relative to the elements, uncorrected	-0.31	eV/atom
energy above the lowest structure with this stoichiometry	362	meV/atom